[1]
Below is crystalline Ta2Ga3Mo4C3 at its relaxed geometry, with properties calculated at the PBE level.

Calculated values
Total magnetization, μB/cell: 0.0
Final energy, eV for the cell shown: -427.59

a b c (Å): 9.309 5.385 13.577
angles (deg): 90.00 103.17 90.00
Space group C2/c (No. 15)
One atom of each set of equivalent atoms:
Ta (0.054, 0.085, 0.406) x8
Ga (0.000, 0.443, 0.250) x4
Ga (0.179, 0.096, 0.749) x8
Mo (0.113, 0.422, 0.586) x8
Mo (0.218, 0.413, 0.914) x8
C (0.081, 0.243, 0.000) x8
C (0.250, 0.250, 0.500) x4


[2]
Below is crystalline GdNbCd at its relaxed geometry, with properties calculated at the PBE level.

Calculated values
Total magnetization, μB/cell: 10.0
Final energy, eV for the cell shown: -52.47
ΔE_f, eV/atom: 0.84

a b c (Å): 6.894 6.894 6.894
angles (deg): 90.00 90.00 90.00
Space group F-43m (No. 216)
One atom of each set of equivalent atoms:
Gd (0.000, 0.000, 0.000) x4
Nb (0.250, 0.250, 0.750) x4
Cd (0.000, 0.000, 0.500) x4


[3]
Below is crystalline YMgAg2 at its relaxed geometry, with properties calculated at the PBE level.

Calculated values
Total magnetization, μB/cell: 0.0
Final energy, eV for the cell shown: -29.78

a b c (Å): 4.7298 4.7298 8.9923
angles (deg): 90.00 90.00 120.00
Space group P6_3/mmc (No. 194)
One atom of each set of equivalent atoms:
Y (0.3333, 0.6667, 0.2500) x2
Mg (0.0000, 0.0000, 0.0000) x2
Ag (0.3333, 0.6667, 0.5865) x4


[4]
Below is crystalline Nb2MoIr2 at its relaxed geometry, with properties calculated at the PBE level.

Calculated values
Total magnetization, μB/cell: 0.0
Final energy, eV for the cell shown: -94.21
ΔE_f, eV/atom: 0.33

a b c (Å): 3.684 3.684 13.203
angles (deg): 90.00 90.00 90.00
Space group I4/mmm (No. 139)
One atom of each set of equivalent atoms:
Nb (0.000, 0.000, 0.105) x4
Mo (0.000, 0.000, 0.500) x2
Ir (0.000, 0.500, 0.250) x4


[5]
Below is crystalline Ho3S2N at its relaxed geometry, with properties calculated at the PBE level.

Calculated values
Total magnetization, μB/cell: 0.0
Final energy, eV for the cell shown: -41.57

a b c (Å): 3.6676 3.6676 9.4798
angles (deg): 90.00 90.00 120.00
Space group P-3m1 (No. 164)
One atom of each set of equivalent atoms:
Ho (0.0000, 0.0000, 0.0000) x1
Ho (0.3333, 0.6667, 0.3648) x2
S (0.3333, 0.6667, 0.8211) x2
N (0.0000, 0.0000, 0.5000) x1


[6]
Below is crystalline Gd2HoMg3Ir3 at its relaxed geometry, with properties calculated at the PBE level.

Calculated values
Total magnetization, μB/cell: 0.0
Final energy, eV for the cell shown: -102.35

a b c (Å): 4.061 12.599 7.284
angles (deg): 90.00 90.00 90.00
Space group Amm2 (No. 38)
One atom of each set of equivalent atoms:
Gd (0.000, 0.205, 0.000) x4
Ho (0.000, 0.000, 0.387) x2
Mg (0.500, 0.000, 0.040) x2
Mg (0.500, 0.122, 0.672) x4
Ir (0.000, 0.000, 0.793) x2
Ir (0.500, 0.165, 0.296) x4


[7]
Below is crystalline ScCo at its relaxed geometry, with properties calculated at the PBE level.

Calculated values
Total magnetization, μB/cell: 0.1
Final energy, eV for the cell shown: -14.16
ΔE_f, eV/atom: -0.36

a b c (Å): 3.117 3.117 3.117
angles (deg): 90.00 90.00 90.00
Space group Pm-3m (No. 221)
One atom of each set of equivalent atoms:
Sc (0.000, 0.000, 0.000) x1
Co (0.500, 0.500, 0.500) x1


[8]
Below is crystalline BaLiBiPd at its relaxed geometry, with properties calculated at the PBE level.

Calculated values
Distance to the lowest polymorph of the same formula, meV/atom: 163
Final energy, eV for the cell shown: -58.21

a b c (Å): 7.475 7.475 7.475
angles (deg): 90.00 90.00 90.00
Space group F-43m (No. 216)
One atom of each set of equivalent atoms:
Ba (0.000, 0.000, 0.000) x4
Li (0.250, 0.250, 0.250) x4
Bi (0.250, 0.250, 0.750) x4
Pd (0.000, 0.000, 0.500) x4


[9]
Below is crystalline Mg2SiIr2 at its relaxed geometry, with properties calculated at the PBE level.

Calculated values
Total magnetization, μB/cell: 0.0
Final energy, eV for the cell shown: -58.02

a b c (Å): 6.154 6.154 4.378
angles (deg): 90.00 90.00 90.00
Space group P4/mbm (No. 127)
One atom of each set of equivalent atoms:
Mg (0.165, 0.335, 0.000) x4
Si (0.000, 0.000, 0.500) x2
Ir (0.149, 0.649, 0.500) x4


[10]
Below is crystalline TmBeIn at its relaxed geometry, with properties calculated at the PBE level.

Calculated values
Total magnetization, μB/cell: 0.0
Distance to the lowest polymorph of the same formula, meV/atom: 0
Final energy, eV for the cell shown: -46.02

a b c (Å): 6.312 6.312 6.312
angles (deg): 90.00 90.00 90.00
Space group F-43m (No. 216)
One atom of each set of equivalent atoms:
Tm (0.000, 0.000, 0.000) x4
Be (0.250, 0.250, 0.750) x4
In (0.000, 0.000, 0.500) x4


[11]
Below is crystalline PrBTe at its relaxed geometry, with properties calculated at the PBE level.

Calculated values
Total magnetization, μB/cell: 0.0
Distance to the lowest polymorph of the same formula, meV/atom: 346
Final energy, eV for the cell shown: -51.88

a b c (Å): 7.041 7.041 7.041
angles (deg): 90.00 90.00 90.00
Space group F-43m (No. 216)
One atom of each set of equivalent atoms:
Pr (0.000, 0.000, 0.000) x4
B (0.250, 0.250, 0.750) x4
Te (0.250, 0.250, 0.250) x4


[12]
Below is crystalline Y3ZrC2S2 at its relaxed geometry, with properties calculated at the PBE level.

Calculated values
Total magnetization, μB/cell: 0.0
Final energy, eV for the cell shown: -64.69

a b c (Å): 3.6266 3.6266 12.7735
angles (deg): 90.00 90.00 120.00
Space group P3m1 (No. 156)
One atom of each set of equivalent atoms:
Y (0.0000, 0.0000, 0.0000) x1
Y (0.0000, 0.0000, 0.2949) x1
Y (0.3333, 0.6667, 0.7886) x1
Zr (0.3333, 0.6667, 0.4977) x1
C (0.6667, 0.3333, 0.4079) x1
C (0.6667, 0.3333, 0.8926) x1
S (0.0000, 0.0000, 0.6340) x1
S (0.3333, 0.6667, 0.1489) x1


[13]
Below is crystalline PuZr at its relaxed geometry, with properties calculated at the PBE level.

Calculated values
Total magnetization, μB/cell: 0.0
Final energy, eV for the cell shown: -89.63
ΔE_f, eV/atom: 0.13

a b c (Å): 7.718 4.716 4.629
angles (deg): 90.00 90.00 90.00
Space group Pbcm (No. 57)
One atom of each set of equivalent atoms:
Pu (0.056, 0.168, 0.250) x4
Zr (0.363, 0.510, 0.250) x4


[14]
Below is crystalline Tm3Ga4Au2 at its relaxed geometry, with properties calculated at the PBE level.

Calculated values
Total magnetization, μB/cell: 0.0
Final energy, eV for the cell shown: -77.41

a b c (Å): 10.522 4.489 8.412
angles (deg): 90.00 113.43 90.00
Space group C2/m (No. 12)
One atom of each set of equivalent atoms:
Tm (0.000, 0.000, 0.000) x2
Tm (0.174, 0.500, 0.655) x4
Ga (0.025, 0.000, 0.363) x4
Ga (0.243, 0.500, 0.076) x4
Au (0.103, 0.500, 0.271) x4


[15]
Below is crystalline Er2Tm2Lu3Ni2Te2 at its relaxed geometry, with properties calculated at the PBE level.

Calculated values
Total magnetization, μB/cell: 0.0
Distance to the lowest polymorph of the same formula, meV/atom: 7
Final energy, eV for the cell shown: -112.89

a b c (Å): 3.820 15.367 9.461
angles (deg): 90.00 90.00 90.00
Space group Imm2 (No. 44)
One atom of each set of equivalent atoms:
Er (0.000, 0.134, 0.000) x4
Tm (0.000, 0.315, 0.795) x4
Lu (0.000, 0.000, 0.419) x2
Lu (0.000, 0.354, 0.147) x4
Ni (0.000, 0.236, 0.487) x4
Te (0.000, 0.000, 0.756) x2
Te (0.000, 0.500, 0.652) x2


[16]
Below is crystalline InRePd at its relaxed geometry, with properties calculated at the PBE level.

Calculated values
Total magnetization, μB/cell: 7.6
Distance to the lowest polymorph of the same formula, meV/atom: 0
Final energy, eV for the cell shown: -71.11

a b c (Å): 6.252 6.252 6.252
angles (deg): 90.00 90.00 90.00
Space group F-43m (No. 216)
One atom of each set of equivalent atoms:
In (0.000, 0.000, 0.000) x4
Re (0.250, 0.250, 0.250) x4
Pd (0.000, 0.000, 0.500) x4


[17]
Below is crystalline ErCdFe at its relaxed geometry, with properties calculated at the PBE level.

Calculated values
Total magnetization, μB/cell: 7.7
Final energy, eV for the cell shown: -45.18
ΔE_f, eV/atom: 0.82

a b c (Å): 6.553 6.553 6.553
angles (deg): 90.00 90.00 90.00
Space group F-43m (No. 216)
One atom of each set of equivalent atoms:
Er (0.000, 0.000, 0.000) x4
Cd (0.250, 0.250, 0.750) x4
Fe (0.250, 0.250, 0.250) x4


[18]
Below is crystalline Y4NiAuC2 at its relaxed geometry, with properties calculated at the PBE level.

Calculated values
Total magnetization, μB/cell: 0.0
Final energy, eV for the cell shown: -55.96

a b c (Å): 3.6603 3.6603 13.7115
angles (deg): 90.00 90.00 120.00
Space group P-6m2 (No. 187)
One atom of each set of equivalent atoms:
Y (0.0000, 0.0000, 0.1405) x2
Y (0.6667, 0.3333, 0.3371) x2
Ni (0.6667, 0.3333, 0.0000) x1
Au (0.0000, 0.0000, 0.5000) x1
C (0.3333, 0.6667, 0.2440) x2


[19]
Below is crystalline Cs2ZnOsO6 at its relaxed geometry, with properties calculated at the PBE level.

Calculated values
Total magnetization, μB/cell: 0.0
Final energy, eV for the cell shown: -220.58

a b c (Å): 8.231 8.231 8.231
angles (deg): 90.00 90.00 90.00
Space group Fm-3m (No. 225)
One atom of each set of equivalent atoms:
Cs (0.250, 0.250, 0.250) x8
Zn (0.000, 0.000, 0.000) x4
Os (0.000, 0.000, 0.500) x4
O (0.000, 0.000, 0.271) x24


[20]
Below is crystalline Pr3Mg3Ir2Au at its relaxed geometry, with properties calculated at the PBE level.

Calculated values
Total magnetization, μB/cell: 0.0
Final energy, eV for the cell shown: -45.43

a b c (Å): 7.5765 7.5765 4.1530
angles (deg): 90.00 90.00 120.00
Space group P-62m (No. 189)
One atom of each set of equivalent atoms:
Pr (0.0000, 0.5790, 0.0000) x3
Mg (0.0000, 0.2494, 0.5000) x3
Ir (0.3333, 0.6667, 0.5000) x2
Au (0.0000, 0.0000, 0.0000) x1


[21]
Below is crystalline CdTcO3 at its relaxed geometry, with properties calculated at the PBE level.

Calculated values
Total magnetization, μB/cell: 18.0
Final energy, eV for the cell shown: -191.49

a b c (Å): 5.3935 5.3935 14.9320
angles (deg): 90.00 90.00 120.00
Space group R-3 (No. 148, hexagonal axes)
One atom of each set of equivalent atoms:
Cd (0.0000, 0.0000, 0.1341) x6
Tc (0.0000, 0.0000, 0.3415) x6
O (0.0150, 0.6323, 0.9248) x18


[22]
Below is crystalline Gd4C2Cl3 at its relaxed geometry, with properties calculated at the PBE level.

Calculated values
Total magnetization, μB/cell: 0.0
Final energy, eV for the cell shown: -218.56

a b c (Å): 10.646 3.688 19.941
angles (deg): 90.00 90.00 90.00
Space group Pnma (No. 62)
One atom of each set of equivalent atoms:
Gd (0.101, 0.250, 0.167) x4
Gd (0.124, 0.250, 0.335) x4
Gd (0.137, 0.250, 0.756) x4
Gd (0.139, 0.250, 0.927) x4
C (0.111, 0.750, 0.250) x4
C (0.136, 0.750, 0.848) x4
Cl (0.113, 0.750, 0.445) x4
Cl (0.121, 0.750, 0.047) x4
Cl (0.139, 0.750, 0.646) x4


[23]
Below is crystalline Dy2ErTm3P2Os at its relaxed geometry, with properties calculated at the PBE level.

Calculated values
Total magnetization, μB/cell: 0.1
Final energy, eV for the cell shown: -112.23

a b c (Å): 4.117 13.256 7.660
angles (deg): 90.00 90.00 90.00
Space group Amm2 (No. 38)
One atom of each set of equivalent atoms:
Dy (0.000, 0.204, 0.000) x4
Er (0.000, 0.000, 0.387) x2
Tm (0.500, 0.000, 0.041) x2
Tm (0.500, 0.126, 0.670) x4
P (0.500, 0.166, 0.295) x4
Os (0.000, 0.000, 0.789) x2


[24]
Below is crystalline TbTmSbBr2 at its relaxed geometry, with properties calculated at the PBE level.

Calculated values
Total magnetization, μB/cell: 0.0
Final energy, eV for the cell shown: -23.74

a b c (Å): 4.2024 4.2024 10.7550
angles (deg): 90.00 90.00 120.00
Space group P3m1 (No. 156)
One atom of each set of equivalent atoms:
Tb (0.0000, 0.0000, 0.0000) x1
Tm (0.3333, 0.6667, 0.3205) x1
Sb (0.6667, 0.3333, 0.1642) x1
Br (0.0000, 0.0000, 0.4766) x1
Br (0.3333, 0.6667, 0.8393) x1